Entry 1:
Below is crystalline FeReTcW at its relaxed geometry, with properties calculated at the PBE level.

Values from the calculation:
Formation energy from the elements: 0.089 eV per atom
Theoretical density: 14.9 g/cm³

abc: 6.160 6.160 6.160
angles: 90.00 90.00 90.00
Space group F-43m (No. 216)
One atom of each set of equivalent atoms:
Fe1 0.000 0.000 0.000 x4
Re1 0.250 0.250 0.250 x4
Tc1 0.250 0.250 0.750 x4
W1 0.000 0.000 0.500 x4

Entry 2:
Below is crystalline Sc3TaCd at its relaxed geometry, with properties calculated at the PBE level.

Values from the calculation:
Formation energy from the elements: 0.635 eV per atom
Theoretical density: 5.2 g/cm³
Polymorph energy (0 for the lowest one): 0.00 eV per formula unit

abc: 5.147 5.147 5.147
angles: 90.00 90.00 90.00
Space group Pm-3m (No. 221)
One atom of each set of equivalent atoms:
Sc1 0.000 0.000 0.500 x3
Ta1 0.000 0.000 0.000 x1
Cd1 0.500 0.500 0.500 x1

Entry 3:
Below is crystalline ScMo2Ir at its relaxed geometry, with properties calculated at the PBE level.

Values from the calculation:
Formation energy from the elements: -0.130 eV per atom
Theoretical density: 11.0 g/cm³
Polymorph energy (0 for the lowest one): 0.53 eV per formula unit

abc: 5.316 9.152 2.810
angles: 90.00 108.22 90.00
Space group C2/m (No. 12)
One atom of each set of equivalent atoms:
Sc1 0.000 0.000 0.000 x2
Mo1 0.250 0.250 0.500 x4
Ir1 0.000 0.500 0.000 x2

Entry 4:
Below is crystalline CrCo2Au at its relaxed geometry, with properties calculated at the PBE level.

Values from the calculation:
Formation energy from the elements: 0.395 eV per atom
Theoretical density: 11.0 g/cm³
Polymorph energy (0 for the lowest one): 0.67 eV per formula unit

abc: 6.044 6.044 6.044
angles: 90.00 90.00 90.00
Space group F-43m (No. 216)
One atom of each set of equivalent atoms:
Cr1 0.000 0.000 0.000 x4
Co1 0.000 0.000 0.500 x4
Co2 0.250 0.250 0.750 x4
Au1 0.250 0.250 0.250 x4